Record 1
# Cu2Ag

A relaxed Cu2Ag crystal (PBE-GGA, OQMD).

Computed properties:
Formation energy from the elements, eV per atom: 0.09
Space group: Cm (8)
Electronic total energy, eV/cell: -29.9
Polymorph energy (0 for the lowest one), eV/f.u.: 0.14

```
9
Lattice="6.8456 -1.3828 0.0000 6.8456 1.3828 0.0000 -4.7969 0.0000 6.6072" Properties=species:S:1:pos:R:3 pbc="T T T"
Cu 7.6118 0.0000 2.2130
Cu 9.0386 0.0000 0.1313
Ag -3.2025 0.0000 4.4725
Ag -1.5598 0.0000 2.2110
Ag -0.2842 0.0000 6.5080
Cu 2.8730 0.0000 2.1836
Cu 6.0321 0.0000 4.3390
Cu 1.3265 0.0000 4.3403
Cu 0.0507 0.0000 0.0302
```

Record 2
# TbHoSe6

A relaxed TbHoSe6 crystal (PBE-GGA, OQMD).

Computed properties:
Space group: Amm2 (38)
Electronic total energy, eV/cell: -39.7

```
8
Lattice="-2.7950 -0.7240 -2.6386 -3.8487 -10.0892 6.8453 -6.1092 -7.3536 8.4891" Properties=species:S:1:pos:R:3 pbc="T T T"
Se -5.5925 -7.7103 5.1407
Se -9.1741 -16.0698 14.1274
Se -2.9083 -5.0944 4.4786
Se -5.7691 -10.1055 8.8840
Se -8.4340 -12.6875 9.5164
Tb -9.6340 -14.7894 11.3642
Se -2.1875 -1.7459 -0.1027
Ho -1.7219 -3.0162 2.6516
```

Record 3
# HoTmFe8B2

A relaxed HoTmFe8B2 crystal (PBE-GGA, OQMD).

Computed properties:
Space group: P6/mmm (191)
Electronic total energy, eV/cell: -91.9
Polymorph energy (0 for the lowest one), eV/f.u.: 0.00

```
12
Lattice="-1.4297 -0.2342 -4.8203 -2.9714 -1.8818 3.6006 -3.1706 6.2271 0.6379" Properties=species:S:1:pos:R:3 pbc="T T T"
B -3.5289 2.3302 -1.6944
Fe -3.1076 0.7236 -0.4273
Tm -1.5853 3.1135 0.3190
B -4.0428 1.7810 1.1126
Fe -2.3928 0.8407 1.9828
Ho 0.0000 0.0000 0.0000
Fe -1.6220 1.6644 -2.2277
Fe -3.7492 3.5047 2.2557
Fe -4.4641 3.3876 -0.1544
Fe -2.4575 -1.3326 0.7936
Fe -1.9436 -0.7834 -2.0133
Fe -2.9784 4.3285 -1.9547
```

Record 4
# Li2Ta2SeO3

A relaxed Li2Ta2SeO3 crystal (PBE-GGA, OQMD).

Computed properties:
Space group: P3m1 (156)
Electronic total energy, eV/cell: -60.4

```
8
Lattice="-0.8032 -2.8926 -0.1555 2.4387 0.8007 1.5646 -6.6852 1.3329 9.7377" Properties=species:S:1:pos:R:3 pbc="T T T"
O -2.6758 0.3739 6.8670
Li 0.0425 -1.6147 0.7600
O -0.9820 0.1958 1.4304
Se -4.4773 0.7331 9.4910
Ta -1.4625 -1.3146 2.9522
Li -3.0169 -1.0047 5.2163
Ta -4.5247 -0.7040 7.4125
O -2.4759 0.4937 3.6064
```

Record 5
# PtPbO3

A relaxed PtPbO3 crystal (PBE-GGA, OQMD).

Computed properties:
Space group: R-3c (167)
Electronic total energy, eV/cell: -55.5

```
10
Lattice="-4.5565 2.0639 -2.4621 -0.5926 5.5413 -0.1616 0.6223 2.5461 -4.9208" Properties=species:S:1:pos:R:3 pbc="T T T"
Pb -1.1317 2.5378 -1.8861
Pt -2.2634 5.0757 -3.7722
Pt 0.0000 0.0000 0.0000
O -3.5708 4.7989 -5.3535
Pb -3.3951 7.6135 -5.6583
O -3.3450 6.6574 -2.9883
O -3.5207 3.8428 -2.6834
O -1.0061 6.3086 -4.8610
O -0.9560 5.3525 -2.1910
O -1.1818 3.4940 -4.5562
```

Record 6
# Ho2BrNCl

A relaxed Ho2BrNCl crystal (PBE-GGA, OQMD).

Computed properties:
Space group: P3m1 (156)
Electronic total energy, eV/cell: -30.3

```
5
Lattice="-2.1550 1.8950 -2.1853 -1.4217 -2.0068 2.6385 0.5425 7.7607 6.1949" Properties=species:S:1:pos:R:3 pbc="T T T"
Br 0.4456 6.3744 5.0883
N -1.6420 4.4366 2.4896
Cl -1.5627 0.7729 2.2113
Ho 0.1993 2.8506 2.2755
Ho -1.3267 4.1492 4.9064
```